## MgPRhF2 (meta-GGA SCAN)

Data for a PBEsol-optimized structure of MgPRhF2.

The total energy is -12.27 eV/atom. The calculation puts the volume at 77 Å³ per cell. For the uncorrected formation energy, the calculation gives -1.023 eV per atom.

The space group is P4/mmm (No. 123) and the conventional cell measures 4.0659, 4.0659 and 4.6559 Å, with angles of 90.00, 90.00 and 90.00 degrees. Symmetry generates all atoms from Mg at (0.0000, 0.0000, 0.0000), P at (0.5000, 0.5000, 0.0000), Rh at (0.5000, 0.5000, 0.5000) and F at (0.0000, 0.5000, 0.5000).